Record 1
Crystalline CsCa3Cu at its relaxed geometry. Source: Alexandria, functional PBE-GGA.

Values from the calculation:
For the formation enthalpy at 0 K, the calculation gives 137 kJ/mol of atoms. The energy relative to the lowest polymorph listed for this composition is 126.1 kJ per mole of atoms. The density of states at the Fermi level comes out at 7.52 states/eV/f.u. The value obtained for the theoretical density is 2.68 Mg/m³. As for the crystal system: cubic.

a = 5.8079 Å, b = 5.8079 Å, c = 5.8079 Å
α = 90.00°, β = 90.00°, γ = 90.00°
Sites, in units of the cell vectors:
Ca  0.5000  0.0000  0.0000
Ca  0.0000  0.5000  0.0000
Ca  0.0000  0.0000  0.5000
Cs  0.0000  0.0000  0.0000
Cu  0.5000  0.5000  0.5000



Record 2
Crystalline CsCa2CuF8 at its relaxed geometry. Source: Alexandria, functional PBE-GGA.

Values from the calculation:
The density of states at the Fermi level comes out at 2.79 states/eV/f.u. The value obtained for the theoretical density is 3.80 Mg/m³. As for the crystal system: triclinic. The value obtained for the formation energy (no corrections) is -3281.2 kJ/mol of formula units.

a = 5.3860 Å, b = 5.2818 Å, c = 7.2262 Å
α = 68.06°, β = 94.61°, γ = 100.92°
Each line ends with the local moment (μB).
Sites, in units of the cell vectors:
F  0.7363  0.7235  0.9302  0.13
F  0.0456  0.6898  0.2382  0.14
F  0.2814  0.9276  0.8929  0.13
F  0.9544  0.3102  0.7618  0.14
F  0.7186  0.0724  0.1071  0.13
F  0.4625  0.7222  0.5091  0.06
F  0.5375  0.2778  0.4909  0.06
F  0.2637  0.2765  0.0698  0.13
Ca  0.5386  0.3706  0.7805  0.00
Ca  0.4614  0.6294  0.2195  0.00
Cu  0.0000  0.0000  0.0000  1.04
Cs  0.0000  0.0000  0.5000  0.00



Record 3
Crystalline CsCaCuF6 at its relaxed geometry. Source: Alexandria, functional PBE-GGA.

Values from the calculation:
The density of states at the Fermi level comes out at 2.17 states/eV/f.u. The value obtained for the theoretical density is 3.76 Mg/m³. As for the crystal system: orthorhombic. The value obtained for the formation energy (no corrections) is -2250.6 kJ/mol of formula units.

a = 7.8606 Å, b = 7.6700 Å, c = 7.5220 Å
α = 120.65°, β = 121.50°, γ = 90.00°
Each line ends with the local moment (μB).
Sites, in units of the cell vectors:
F  0.5403  0.3678  0.7370  0.11
F  0.1492  0.8992  0.2984  0.00
F  0.4597  0.6322  0.2630  0.11
F  0.8508  0.1008  0.7016  0.00
F  0.5403  0.8692  0.7370  0.11
F  0.4597  0.1308  0.2630  0.11
F  0.5111  0.7611  0.0222  0.06
F  0.8033  0.1308  0.2630  0.11
F  0.1967  0.3678  0.7370  0.11
F  0.8033  0.6322  0.2630  0.11
F  0.1967  0.8692  0.7370  0.11
F  0.4889  0.2389  0.9778  0.06
Cs  0.8540  0.6040  0.7080  0.00
Cs  0.1460  0.3960  0.2920  0.00
Ca  0.5000  0.0000  0.5000  0.00
Ca  0.0000  0.0000  0.5000  0.00
Cu  0.5000  0.0000  0.0000  0.70
Cu  0.5000  0.5000  0.0000  0.70



Record 4
Crystalline Cs2CaCuF at its relaxed geometry. Source: Alexandria, functional PBE-GGA.

Values from the calculation:
The density of states at the Fermi level comes out at 0.08 states/eV/f.u. The value obtained for the theoretical density is 2.98 Mg/m³. As for the crystal system: tetragonal. The value obtained for the formation energy (no corrections) is -259.7 kJ/mol of formula units.

a = 5.4498 Å, b = 7.2842 Å, c = 5.4498 Å
α = 90.00°, β = 90.00°, γ = 90.00°
Sites, in units of the cell vectors:
Cu  0.0000  0.5000  0.0000
Cs  0.0000  0.0000  0.5000
Cs  0.5000  0.0000  0.0000
F  0.0000  0.0000  0.0000
Ca  0.5000  0.5000  0.5000



Record 5
Crystalline Cs2CaCuH at its relaxed geometry. Source: Alexandria, functional PBE-GGA.

Values from the calculation:
Its total energy is -8.70 eV per formula unit. The density of states at the Fermi level comes out at 3.74 states/eV/f.u. The value obtained for the theoretical density is 2.75 Mg/m³. As for the crystal system: tetragonal.

a = 7.6769 Å, b = 3.8022 Å, c = 7.6769 Å
α = 90.00°, β = 90.00°, γ = 90.00°
Sites, in units of the cell vectors:
Cs  0.5000  0.0000  0.0000
Cs  0.0000  0.0000  0.5000
H  0.0000  0.5000  0.0000
Ca  0.5000  0.5000  0.5000
Cu  0.0000  0.0000  0.0000



Record 6
Crystalline CsCaCuI4 at its relaxed geometry. Source: Alexandria, functional PBE-GGA.

Values from the calculation:
The density of states at the Fermi level comes out at 0.00 states/eV/f.u. The value obtained for the theoretical density is 4.30 Mg/m³. As for the crystal system: monoclinic. The value obtained for the formation energy (no corrections) is -779.4 kJ/mol of formula units.

a = 7.1819 Å, b = 8.1783 Å, c = 10.4924 Å
α = 90.00°, β = 111.24°, γ = 90.00°
Sites, in units of the cell vectors:
Cs  0.7657  0.7500  0.9500
Cs  0.2343  0.2500  0.0500
I  0.9669  0.0072  0.2955
I  0.0331  0.5072  0.7045
I  0.9669  0.4928  0.2955
I  0.4638  0.7500  0.5782
I  0.5362  0.2500  0.4218
I  0.6063  0.2500  0.8429
I  0.3937  0.7500  0.1571
I  0.0331  0.9928  0.7045
Cu  0.2016  0.7500  0.3296
Cu  0.7984  0.2500  0.6704
Ca  0.7777  0.7500  0.4430
Ca  0.2223  0.2500  0.5570



Record 7
Crystalline Cs2KCaCu at its relaxed geometry. Source: Alexandria, functional PBE-GGA.

Values from the calculation:
For the formation enthalpy at 0 K, the calculation gives 42 kJ/mol of atoms. The density of states at the Fermi level comes out at 4.27 states/eV/f.u. The value obtained for the theoretical density is 1.79 Mg/m³. As for the crystal system: tetragonal.

a = 8.2904 Å, b = 5.5014 Å, c = 8.2904 Å
α = 90.00°, β = 90.00°, γ = 90.00°
Sites, in units of the cell vectors:
Cu  0.0000  0.5000  0.0000
Ca  0.0000  0.0000  0.0000
Cs  0.0000  0.0000  0.5000
Cs  0.5000  0.0000  0.0000
K  0.5000  0.5000  0.5000



Record 8
Crystalline CsKCaCu2 at its relaxed geometry. Source: Alexandria, functional PBE-GGA.

Values from the calculation:
For the formation enthalpy at 0 K, the calculation gives 93 kJ/mol of atoms. The density of states at the Fermi level comes out at 3.19 states/eV/f.u. The value obtained for the theoretical density is 2.51 Mg/m³. As for the crystal system: tetragonal.

a = 6.0144 Å, b = 6.2068 Å, c = 6.0144 Å
α = 90.00°, β = 90.00°, γ = 90.00°
Sites, in units of the cell vectors:
K  0.0000  0.5000  0.0000
Cs  0.0000  0.0000  0.0000
Ca  0.5000  0.5000  0.5000
Cu  0.0000  0.0000  0.5000
Cu  0.5000  0.0000  0.0000



Record 9
Crystalline CsCa2MgCu at its relaxed geometry. Source: Alexandria, functional PBE-GGA.

Values from the calculation:
For the formation enthalpy at 0 K, the calculation gives 66 kJ/mol of atoms. The density of states at the Fermi level comes out at 3.83 states/eV/f.u. The value obtained for the theoretical density is 1.91 Mg/m³. As for the crystal system: tetragonal.

a = 6.1748 Å, b = 6.8675 Å, c = 6.1748 Å
α = 90.00°, β = 90.00°, γ = 90.00°
Sites, in units of the cell vectors:
Ca  0.0000  0.0000  0.5000
Ca  0.5000  0.0000  0.0000
Mg  0.0000  0.0000  0.0000
Cs  0.0000  0.5000  0.0000
Cu  0.5000  0.5000  0.5000



Record 10
Crystalline CsCaCuO2 at its relaxed geometry. Source: Alexandria, functional PBE-GGA.

Values from the calculation:
The density of states at the Fermi level comes out at 0.00 states/eV/f.u. The value obtained for the theoretical density is 4.09 Mg/m³. As for the crystal system: orthorhombic. The value obtained for the formation energy (no corrections) is -773.0 kJ/mol of formula units.

a = 5.0266 Å, b = 6.6405 Å, c = 7.3270 Å
α = 116.95°, β = 90.00°, γ = 90.00°
Sites, in units of the cell vectors:
Ca  0.5000  0.2500  0.0000
Ca  0.5000  0.7500  0.0000
O  0.2830  0.0886  0.1772
O  0.2830  0.4114  0.8228
O  0.7170  0.5886  0.1772
O  0.7170  0.9114  0.8228
Cu  0.0000  0.5000  0.0000
Cu  0.0000  0.0000  0.0000
Cs  0.2188  0.7500  0.5000
Cs  0.7812  0.2500  0.5000